Entry 1:
ZrBe3Os: relaxed, PBE.

It has space group Pm-3m (No. 221), with a = 4.271 Å, b = 4.271 Å, c = 4.271 Å, α = 90.00°, β = 90.00° and γ = 90.00°. The distinct sites, in fractional coordinates, are Zr at (0.000, 0.000, 0.000), Be at (0.000, 0.000, 0.500) and Os at (0.500, 0.500, 0.500).

The value obtained for the calculated total energy is -3.99 eV per atom. The calculation puts the total magnetization at 1.91 μB per cell. The density of states at the Fermi level is 0.566 states/eV per atom. The crystal system is cubic. The calculation puts the formation energy at 11.024 eV/f.u.

=====

Entry 2:
Np2Ga3Pt5: relaxed, PBE.

It has space group Cmc2_1 (No. 36), with a = 4.223 Å, b = 24.921 Å, c = 6.897 Å, α = 90.00°, β = 90.00° and γ = 90.00°. The distinct sites, in fractional coordinates, are Np at (0.000, 0.023, 0.000), Np at (0.000, 0.322, 0.010), Ga at (0.000, 0.102, 0.659), Ga at (0.000, 0.286, 0.563), Ga at (0.000, 0.440, 0.815), Pt at (0.000, 0.116, 0.270), Pt at (0.000, 0.193, 0.828), Pt at (0.000, 0.229, 0.261), Pt at (0.000, 0.385, 0.481) and Pt at (0.000, 0.460, 0.189).

The value obtained for the calculated total energy is -7.11 eV per atom. The calculation puts the total magnetization at 29.16 μB per cell. The density of states at the Fermi level is 2.147 states/eV per atom. The crystal system is orthorhombic. The calculation puts the formation energy at -5.909 eV/f.u.

=====

Entry 3:
U2TcC: relaxed, PBE.

It has space group C2/m (No. 12), with a = 5.358 Å, b = 3.382 Å, c = 7.473 Å, α = 90.00°, β = 102.57° and γ = 90.00°. The distinct sites, in fractional coordinates, are U at (0.095, 0.000, 0.293), Tc at (0.000, 0.500, 0.000) and C at (0.000, 0.500, 0.500).

The value obtained for the calculated total energy is -10.59 eV per atom. The calculation puts the total magnetization at 0.00 μB per cell. The density of states at the Fermi level is 1.165 states/eV per atom. The crystal system is monoclinic. The calculation puts the formation energy at -0.192 eV/f.u.

=====

Entry 4:
AcPm2CdHg4: relaxed, PBE.

It has space group R-3m (No. 166, hexagonal axes), with a = 5.2167 Å, b = 5.2167 Å, c = 28.9350 Å, α = 90.00°, β = 90.00° and γ = 120.00°. The distinct sites, in fractional coordinates, are Ac at (0.0000, 0.0000, 0.0000), Pm at (0.0000, 0.0000, 0.2349), Cd at (0.0000, 0.0000, 0.5000), Hg at (0.0000, 0.0000, 0.1245) and Hg at (0.0000, 0.0000, 0.3859).

The value obtained for the calculated total energy is -2.38 eV per atom. The calculation puts the total magnetization at 0.00 μB per cell. The density of states at the Fermi level is 0.852 states/eV per atom. The crystal system is trigonal. The calculation puts the formation energy at -3.292 eV/f.u.

=====

Entry 5:
Rb2CaW: relaxed, PBE.

It has space group Fm-3m (No. 225), with a = 9.018 Å, b = 9.018 Å, c = 9.018 Å, α = 90.00°, β = 90.00° and γ = 90.00°. The distinct sites, in fractional coordinates, are Rb at (0.250, 0.250, 0.250), Ca at (0.000, 0.000, 0.000) and W at (0.000, 0.000, 0.500).

The value obtained for the calculated total energy is -2.56 eV per atom. The calculation puts the total magnetization at 17.54 μB per cell. The density of states at the Fermi level is 0.934 states/eV per atom. The crystal system is cubic. The calculation puts the formation energy at 6.670 eV/f.u.

=====

Entry 6:
TiCuSn3: relaxed, PBE.

It has space group Pm-3m (No. 221), with a = 5.016 Å, b = 5.016 Å, c = 5.016 Å, α = 90.00°, β = 90.00° and γ = 90.00°. The distinct sites, in fractional coordinates, are Ti at (0.000, 0.000, 0.000), Cu at (0.500, 0.500, 0.500) and Sn at (0.000, 0.500, 0.500).

The value obtained for the calculated total energy is -4.20 eV per atom. The calculation puts the total magnetization at 0.00 μB per cell. The density of states at the Fermi level is 1.321 states/eV per atom. The crystal system is cubic. The calculation puts the formation energy at 2.981 eV/f.u.

=====

Entry 7:
In2Ge2Bi: relaxed, PBE.

It has space group P4/mbm (No. 127), with a = 8.485 Å, b = 8.485 Å, c = 3.466 Å, α = 90.00°, β = 90.00° and γ = 90.00°. The distinct sites, in fractional coordinates, are In at (0.144, 0.356, 0.000), Ge at (0.154, 0.654, 0.500) and Bi at (0.000, 0.000, 0.500).

The value obtained for the calculated total energy is -3.54 eV per atom. The calculation puts the total magnetization at 0.00 μB per cell. The density of states at the Fermi level is 0.510 states/eV per atom. The crystal system is tetragonal. The calculation puts the formation energy at 0.869 eV/f.u.

=====

Entry 8:
PrNdHgRh: relaxed, PBE.

It has space group F-43m (No. 216), with a = 7.408 Å, b = 7.408 Å, c = 7.408 Å, α = 90.00°, β = 90.00° and γ = 90.00°. The distinct sites, in fractional coordinates, are Pr at (0.000, 0.000, 0.000), Nd at (0.000, 0.000, 0.500), Hg at (0.250, 0.250, 0.250) and Rh at (0.250, 0.250, 0.750).

The value obtained for the calculated total energy is -4.79 eV per atom. The calculation puts the total magnetization at 0.00 μB per cell. The density of states at the Fermi level is 0.579 states/eV per atom. The crystal system is cubic. The calculation puts the formation energy at -1.977 eV/f.u.